# 1
TaPCl | PBE | relaxed

Cell: 4.3318 4.3318 4.3318 Å, 60.00 60.00 60.00°
Fractional coordinates of all 3 atoms:
Ta (0.0000, 0.0000, 0.0000)
P (0.7500, 0.7500, 0.7500)
Cl (0.5000, 0.5000, 0.5000)

Output
The total DFT energy (no corrections) comes out at -17.37 eV per formula unit. For the spin magnetization, the calculation gives 0.68 μB/cell. Its space-group type is F-43m, No. 216.

***

# 2
LiCuSb2 | PBE | relaxed

Cell: 5.0987 5.0987 3.2044 Å, 93.62 93.62 101.05°
Fractional coordinates of all 4 atoms:
Li (0.0000, 0.0000, 0.0000)
Cu (0.5000, 0.5000, 0.0000)
Sb (0.0000, 0.5000, 0.5000)
Sb (0.5000, 0.0000, 0.5000)

Output
The total DFT energy (no corrections) comes out at -14.43 eV per formula unit. For the spin magnetization, the calculation gives 0.00 μB/cell. Its space-group type is C2/m, No. 12.

***

# 3
LiBe3I | PBE | relaxed

Cell: 4.9133 4.9133 4.9133 Å, 90.00 90.00 90.00°
Fractional coordinates of all 5 atoms:
Li (0.0000, 0.0000, 0.0000)
Be (0.0000, 0.5000, 0.5000)
Be (0.5000, 0.0000, 0.5000)
Be (0.5000, 0.5000, 0.0000)
I (0.5000, 0.5000, 0.5000)

Output
The total DFT energy (no corrections) comes out at -6.70 eV per formula unit. For the spin magnetization, the calculation gives 0.00 μB/cell. Its space-group type is Pm-3m, No. 221.

***

Question: Which of these has the highest spin magnetization?
Answer: TaPCl